A relaxed LiPmSn4Pd2 crystal, computed with PBE-GGA.

abc: 4.5930 4.5930 10.0697
angles: 76.82 76.82 60.00
Closest atoms and distances in Å follow each position.
Fractional positions:
1 Li 0.5000 0.5000 0.5000  8 Sn 2.92-3.11
2 Pm 0.0000 0.0000 0.0000  6 Sn 3.18
3 Sn 0.3934 0.3934 0.8199  3 Pd 2.78, 1 Li 3.11
4 Sn 0.8754 0.8754 0.3738  3 Pd 2.85, 3 Li 2.92
5 Sn 0.1246 0.1246 0.6262  3 Pd 2.85, 3 Li 2.92
6 Sn 0.6066 0.6066 0.1801  3 Pd 2.78, 1 Li 3.11
7 Pd 0.7553 0.7553 0.7341  6 Sn 2.78-2.85
8 Pd 0.2447 0.2447 0.2659  6 Sn 2.78-2.85

## Properties
E_form	-0.52	eV/atom
magnetization	0.00	μB/f.u.
uncorrected energy	-4.65	eV/atom



A relaxed RuPb2Br crystal, computed with PBE-GGA.

abc: 3.4086 6.3290 4.8588
angles: 90.00 90.00 90.00
Closest atoms and distances in Å follow each position.
Fractional positions:
1 Pb 0.0000 0.0000 0.0000  4 Ru 2.97
2 Pb 0.5000 0.5000 0.0000  4 Br 2.97
3 Ru 0.5000 0.0000 0.5000  4 Pb 2.97
4 Br 0.0000 0.5000 0.5000  4 Pb 2.97

## Properties
magnetization	1.66	μB/f.u.
raw formation energy	607.5	meV/atom
uncorrected energy	-3.98	eV/atom
ΔE to the lowest computed polymorph	0.480	eV/atom



A relaxed OsRh2Br crystal, computed with PBE-GGA.

abc: 2.9070 3.5343 6.4182
angles: 90.00 90.00 90.00
Closest atoms and distances in Å follow each position.
Fractional positions:
1 Rh 0.0000 0.0000 0.9908  4 Os 2.59, 4 Rh 2.72
2 Rh 0.5000 0.5000 0.2188  1 Os 2.68, 6 Rh 2.72-2.91, 4 Br 2.87
3 Os 0.5000 0.5000 0.8012  5 Rh 2.59-2.68
4 Br 0.0000 0.0000 0.4892  5 Rh 2.87-3.20, 2 Br 2.91, 4 Os 3.04

## Properties
magnetization	0.00	μB/f.u.
raw formation energy	750.0	meV/atom
uncorrected energy	-6.15	eV/atom
ΔE to the lowest computed polymorph	0.280	eV/atom



A relaxed CoHCSe crystal, computed with PBE-GGA.

abc: 2.8377 2.8377 6.7736
angles: 98.95 99.27 102.27
Closest atoms and distances in Å follow each position.
Fractional positions:
1 Co 0.4454 0.9851 0.9983  1 H 1.49
2 H 0.5527 0.0947 0.2255  1 Co 1.49
3 C 0.0616 0.3890 0.0193  3 Co 1.75-1.85
4 Se 0.2652 0.8087 0.6263  1 Co 2.44

## Properties
magnetization	0.00	μB/f.u.
uncorrected energy	-5.24	eV/atom
ΔE to the lowest computed polymorph	0.246	eV/atom



A relaxed KTc2As crystal, computed with PBE-GGA.

abc: 4.6064 3.9624 3.9624
angles: 90.00 90.00 90.00
Closest atoms and distances in Å follow each position.
Fractional positions:
1 As 0.5000 0.5000 0.0000  4 K 2.80, 8 Tc 3.04
2 K 0.5000 0.0000 0.5000  4 As 2.80, 8 Tc 3.04
3 Tc 0.0000 0.0000 0.0000  4 Tc 2.80, 4 As 3.04, 4 K 3.04
4 Tc 0.0000 0.5000 0.5000  4 Tc 2.80, 4 As 3.04, 4 K 3.04

## Properties
E_form	1.27	eV/atom
magnetization	0.00	μB/f.u.
uncorrected energy	-5.35	eV/atom



A relaxed K3In2Au9 crystal, computed with PBE-GGA.

abc: 4.7910 8.9502 8.9502
angles: 67.94 74.48 74.48
Closest atoms and distances in Å follow each position.
Fractional positions:
1 K 0.0000 0.0000 0.0000  12 Au 3.39-3.63
2 K 0.7095 0.2905 0.2905  12 Au 3.30-3.63, 2 In 3.52
3 K 0.2905 0.7095 0.7095  12 Au 3.30-3.63, 2 In 3.52
4 In 0.5000 0.3068 0.6932  8 Au 2.85-3.08
5 In 0.5000 0.6932 0.3068  8 Au 2.85-3.08
6 Au 0.0000 0.5000 0.5000  4 Au 2.83, 4 In 3.08
7 Au 0.6656 0.9773 0.6915  4 Au 2.83-2.96, 1 In 2.85
8 Au 0.3344 0.0227 0.3085  4 Au 2.83-2.96, 1 In 2.85
9 Au 0.6656 0.6915 0.9773  4 Au 2.83-2.96, 1 In 2.85
10 Au 0.3344 0.3085 0.0227  4 Au 2.83-2.96, 1 In 2.85
11 Au 0.8696 0.8458 0.4151  4 Au 2.83-2.96, 2 In 3.02
12 Au 0.1304 0.1542 0.5849  4 Au 2.83-2.96, 2 In 3.02
13 Au 0.8696 0.4151 0.8458  4 Au 2.83-2.96, 2 In 3.02
14 Au 0.1304 0.5849 0.1542  4 Au 2.83-2.96, 2 In 3.02

## Properties
E_form	-0.21	eV/atom
magnetization	0.00	μB/f.u.
uncorrected energy	-2.94	eV/atom



A relaxed Ac2MgZn3Cu4 crystal, computed with PBE-GGA.

abc: 4.2521 4.2521 11.2461
angles: 90.00 90.00 90.00
Closest atoms and distances in Å follow each position.
Fractional positions:
1 Ac 0.5000 0.0000 0.2360  8 Cu 3.28-3.40, 6 Zn 3.28-3.65, 2 Mg 3.65
2 Ac 0.0000 0.5000 0.7640  8 Cu 3.28-3.40, 6 Zn 3.28-3.65, 2 Mg 3.65
3 Mg 0.5000 0.5000 0.5000  4 Cu 2.70, 4 Zn 3.01
4 Zn 0.0000 0.0000 0.5000  4 Cu 2.70, 4 Mg 3.01
5 Zn 0.5000 0.0000 0.8807  5 Cu 2.51-2.61
6 Zn 0.0000 0.5000 0.1193  5 Cu 2.51-2.61
7 Cu 0.5000 0.5000 0.0000  4 Zn 2.51
8 Cu 0.0000 0.0000 0.0000  4 Zn 2.51
9 Cu 0.5000 0.0000 0.6483  3 Zn 2.61-2.70, 2 Mg 2.70
10 Cu 0.0000 0.5000 0.3517  3 Zn 2.61-2.70, 2 Mg 2.70

## Properties
E_form	-0.19	eV/atom
magnetization	0.00	μB/f.u.
uncorrected energy	-3.19	eV/atom



A relaxed CsSrBi2Te crystal, computed with PBE-GGA.

abc: 6.1192 6.5009 6.1192
angles: 90.00 90.00 90.00
Closest atoms and distances in Å follow each position.
Fractional positions:
1 Cs 0.0000 0.5000 0.0000  2 Te 3.25
2 Sr 0.5000 0.5000 0.5000  4 Cs 4.33, 8 Bi 4.46
3 Te 0.0000 0.0000 0.0000  4 Bi 3.06, 2 Cs 3.25
4 Bi 0.0000 0.0000 0.5000  2 Te 3.06
5 Bi 0.5000 0.0000 0.0000  2 Te 3.06

## Properties
magnetization	0.00	μB/f.u.
raw formation energy	1.3	meV/atom
uncorrected energy	-2.69	eV/atom



A relaxed B5C7 crystal, computed with PBE-GGA.

abc: 6.3606 6.3606 4.9815
angles: 101.18 101.18 24.00
Closest atoms and distances in Å follow each position.
Fractional positions:
1 B 0.0155 0.0155 0.9774  3 C 1.60-1.63
2 B 0.8947 0.8947 0.2268  2 C 1.58
3 B 0.2307 0.2307 0.3201  3 C 1.58
4 B 0.0079 0.0079 0.5058  3 C 1.68-1.70, 1 B 1.77
5 B 0.3521 0.3521 0.7430  3 C 1.56-1.61
6 C 0.3261 0.3261 0.1543  3 B 1.58, 1 C 1.61
7 C 0.9160 0.9160 0.7179  4 B 1.56-1.70
8 C 0.6621 0.6621 0.3301  2 C 1.50-1.53, 2 B 1.58
9 C 0.5926 0.5926 0.5442  2 C 1.50-1.53, 2 B 1.68
10 C 0.2417 0.2417 0.8652  3 C 1.60-1.61, 1 B 1.61
11 C 0.6681 0.6681 0.8257  4 C 1.53-1.60
12 C 0.5926 0.5926 0.0395  2 C 1.53-1.55, 2 B 1.63

## Properties
E_form	0.32	eV/atom
magnetization	0.00	μB/f.u.
uncorrected energy	-7.85	eV/atom
ΔE to the lowest computed polymorph	0.058	eV/atom



A relaxed Ac2Ga4Cu3Pt crystal, computed with PBE-GGA.

abc: 4.4291 4.4291 10.2447
angles: 90.00 90.00 90.00
Closest atoms and distances in Å follow each position.
Fractional positions:
1 Ac 0.5000 0.0000 0.2530  6 Cu 3.36-3.38, 2 Pt 3.36, 8 Ga 3.37-3.41
2 Ac 0.0000 0.5000 0.7470  6 Cu 3.36-3.38, 2 Pt 3.36, 8 Ga 3.37-3.41
3 Ga 0.5000 0.5000 0.0000  4 Cu 2.57
4 Ga 0.0000 0.0000 0.0000  4 Cu 2.57
5 Ga 0.5000 0.0000 0.6246  3 Cu 2.54-2.56, 2 Pt 2.56
6 Ga 0.0000 0.5000 0.3754  3 Cu 2.54-2.56, 2 Pt 2.56
7 Cu 0.0000 0.0000 0.5000  4 Ga 2.56
8 Cu 0.5000 0.0000 0.8722  5 Ga 2.54-2.57
9 Cu 0.0000 0.5000 0.1278  5 Ga 2.54-2.57
10 Pt 0.5000 0.5000 0.5000  4 Ga 2.56

## Properties
E_form	-0.53	eV/atom
magnetization	0.00	μB/f.u.
uncorrected energy	-4.40	eV/atom



A relaxed Sr2PrCu3Pb2O8 crystal, computed with PBE-GGA.

abc: 3.8674 3.9093 16.0389
angles: 89.13 89.98 89.99
Closest atoms and distances in Å follow each position.
Fractional positions:
1 Sr 0.0002 0.0140 0.7760  9 O 2.62-2.82
2 Sr 0.9998 0.9860 0.2240  9 O 2.62-2.82
3 Pr 0.0000 0.0000 0.0000  8 O 2.50-2.51
4 Cu 0.5001 0.5066 0.8892  4 O 1.95-1.96
5 Cu 0.4999 0.4934 0.1108  4 O 1.95-1.96
6 Cu 0.0000 0.0000 0.5000  2 O 1.86
7 Pb 0.5001 0.4956 0.6102  1 O 2.18
8 Pb 0.4999 0.5044 0.3898  1 O 2.18
9 O 0.0001 0.5058 0.9023  2 Cu 1.95
10 O 0.5001 0.0059 0.9005  2 Cu 1.96
11 O 0.9999 0.4942 0.0977  2 Cu 1.95
12 O 0.4999 0.9941 0.0995  2 Cu 1.96
13 O 0.5002 0.5198 0.7462  1 Pb 2.18, 1 Cu 2.29
14 O 0.4998 0.4802 0.2538  1 Pb 2.18, 1 Cu 2.29
15 O 0.0007 0.0956 0.6136  1 Cu 1.86
16 O 0.9993 0.9044 0.3864  1 Cu 1.86

## Properties
magnetization	0.00	μB/f.u.
raw formation energy	-1684.6	meV/atom
uncorrected energy	-5.90	eV/atom



A relaxed HoPaNiN3 crystal, computed with PBE-GGA.

abc: 3.4017 7.0218 7.0985
angles: 98.91 90.00 90.00
Closest atoms and distances in Å follow each position.
Fractional positions:
1 Ho 0.2500 0.1622 0.2045  7 N 2.38-2.63, 1 Ni 2.67
2 Ho 0.7500 0.8378 0.7955  7 N 2.38-2.63, 1 Ni 2.67
3 Pa 0.2500 0.6609 0.1867  6 N 2.32-2.49
4 Pa 0.7500 0.3391 0.8133  6 N 2.32-2.49
5 Ni 0.2500 0.1053 0.5678  4 N 1.96-2.09
6 Ni 0.7500 0.8947 0.4322  4 N 1.96-2.09
7 N 0.7500 0.8746 0.1352  1 Ni 2.09, 2 Pa 2.33
8 N 0.2500 0.1254 0.8648  1 Ni 2.09, 2 Pa 2.33
9 N 0.2500 0.8100 0.5282  3 Ni 1.96-2.05
10 N 0.7500 0.1900 0.4718  3 Ni 1.96-2.05
11 N 0.7500 0.4253 0.1419  3 Pa 2.32-2.36
12 N 0.2500 0.5747 0.8581  3 Pa 2.32-2.36

## Properties
magnetization	0.00	μB/f.u.
raw formation energy	-1089.9	meV/atom
uncorrected energy	-8.56	eV/atom



Q: uncorrected energy of number 8 (CsSrBi2Te)?
A: -2.69 eV/atom